[1]
Here is ZrZnIr2 after structural relaxation from the Alexandria database. Energies are from PBEsol.

Output
Total energy ... -31.1 eV for the cell shown
Energy relative to the elements ... -186 meV per atom

a = 2.810 Å, b = 2.810 Å, c = 7.837 Å
α = 90.00°, β = 90.00°, γ = 90.00°
Space group P4mm (No. 99)
Inequivalent atoms, fractional coordinates:
Zr (0.000, 0.000, 0.000) x1
Zn (0.500, 0.500, 0.724) x1
Ir (0.000, 0.000, 0.501) x1
Ir (0.500, 0.500, 0.271) x1


[2]
Here is ZrZnIr2 after structural relaxation from the Alexandria database. Energies are from PBEsol.

Output
Total energy ... -32.8 eV for the cell shown
Energy relative to the elements ... -623 meV per atom

a = 3.106 Å, b = 3.377 Å, c = 5.880 Å
α = 90.00°, β = 90.00°, γ = 90.00°
Space group Pmmm (No. 47)
Inequivalent atoms, fractional coordinates:
Zr (0.000, 0.000, 0.000) x1
Zn (0.000, 0.000, 0.500) x1
Ir (0.500, 0.500, 0.263) x2